Computed, not measured: a geometry-optimized Nd4Dy3In structure at the PBE level of DFT.

a b c (Å): 7.053 7.136 10.108
angles (deg): 90.00 90.00 90.00
Element x y z (fractional)
Dy: 0.742 0.561 0.250
Dy: 0.742 0.561 0.750
Nd: 0.999 0.811 0.000
Nd: 0.750 0.061 0.750
Dy: 0.258 0.061 0.750
Dy: 0.000 0.310 0.000
Nd: 0.250 0.561 0.750
Nd: 0.750 0.061 0.250
Nd: 0.500 0.810 0.500
Nd: 0.500 0.310 0.000
In: 0.500 0.811 0.000
In: 0.500 0.311 0.500
Nd: 0.001 0.311 0.500
Dy: 0.000 0.810 0.500
Dy: 0.258 0.061 0.250
Nd: 0.250 0.561 0.250

## Properties
For the density of states at the Fermi level, the calculation gives 23.0 states/eV/cell. The polymorph energy (0 for the lowest one) comes out at 0.0141 eV per atom. The spin magnetization is 0.00 μB per formula unit. As for the energy of formation from the pure elements: -7.7 kJ/mol of atoms.